Density functional theory data (GGA+U) for MgHW2F after structural relaxation.

- DFT total energy (eV/atom) = -2.962
- magnetic moment (μB/atom) = 1.6220

Cell: 5.663 5.663 3.529 Å, 90.00 90.00 90.00°
Space group P4/mmm (No. 123)
Asymmetric unit:
1 Mg 0.000 0.000 0.000
2 H 0.000 0.000 0.500
3 W 0.000 0.500 0.000
4 F 0.500 0.500 0.500